LiB13C2 | the Alexandria database | GGA-PBEsol | optimized geometry; E = -7.22 eV/atom; crystal system = orthorhombic; ΔH_f (0 K) = -0.1867 eV/atom; N(E_F) = 0.0 states/eV per cell
1.0
-2.8270 5.3947 4.0081
2.8270 -5.3947 4.0081
2.8270 5.3947 -4.0081
Li B C
2 26 4
direct
0.4450 0.1950 0.2500
0.5550 0.8050 0.7500
0.0199 0.1951 0.3187
0.0199 0.7012 0.8248
0.1034 0.6773 0.4262
0.1136 0.8636 0.2500
0.1784 0.5117 0.6667
0.2285 0.4993 0.4089
0.2285 0.8197 0.7292
0.2489 0.3227 0.9262
0.3449 0.5117 0.8333
0.3764 0.1951 0.6752
0.3764 0.7012 0.1813
0.4096 0.1803 0.9089
0.4096 0.5007 0.2292
0.5904 0.4993 0.7708
0.5904 0.8197 0.0911
0.6236 0.2988 0.8187
0.6236 0.8049 0.3248
0.6551 0.4883 0.1667
0.7511 0.6773 0.0738
0.7715 0.1803 0.2708
0.7715 0.5007 0.5911
0.8216 0.4883 0.3333
0.8864 0.1364 0.7500
0.8966 0.3227 0.5738
0.9801 0.2988 0.1752
0.9801 0.8049 0.6813
0.0112 0.1298 0.8814
0.2516 0.8702 0.3814
0.7484 0.1298 0.6186
0.9888 0.8702 0.1186